First-principles (PBE) data for a relaxed structure of In3GaIr, as listed in Alexandria via LeMat-Bulk.

Cell and atoms, written as extended XYZ:
```
5
Lattice="-3.4713 1.6201 3.3223 -2.9145 -4.0029 -1.0933 2.2733 -2.6580 3.6715" Properties=species:S:1:pos:R:3 pbc="T T T"
Ga 0.0000 0.0000 0.0000
In -1.7357 0.8101 1.6611
In -1.4573 -2.0014 -0.5466
In 1.1367 -1.3290 1.8357
Ir -2.0563 -2.5204 2.9502
```

Summary:
**Symmetry**: Pm-3m (221)
**ΔE to the lowest computed polymorph**: 5.35 eV per formula unit